Record 1
The following is a DFT calculation (GGA-PBE) of crystalline TcNiSCl2 at its relaxed geometry.

The structure in POSCAR format:
```
TcNiSCl2
1.0
-3.3858 2.3733 -2.6919
-3.4070 -0.9630 3.4362
1.0140 3.7923 2.0681
Cl Ni S Tc
2 1 1 1
Direct
0.5000 0.0000 0.0000
0.0000 0.5000 0.0000
0.5000 0.5000 0.5000
0.0000 0.0000 0.5000
0.0000 0.0000 0.0000
```

**Uncorrected formation energy**: 0.49 eV/atom
**ρ**: 4.0 g/cm3
**SG**: P4/mmm, No. 123
**DOS at the Fermi energy**: 13.48 states/eV per cell
**Total DFT energy (no corrections)**: -4.306 eV/atom

=====

Record 2
The following is a DFT calculation (GGA-PBE) of crystalline TcNiSCl2 at its relaxed geometry.

The structure in POSCAR format:
```
TcNiSCl2
1.0
4.4899 0.0000 0.0000
0.0000 4.4899 0.0000
0.0000 0.0000 4.7913
Tc Ni Cl S
1 1 2 1
Direct
0.5000 0.5000 0.5000
0.0000 0.0000 0.0000
0.5000 0.0000 0.0000
0.0000 0.5000 0.0000
0.0000 0.0000 0.5000
```

**Uncorrected formation energy**: 0.46 eV/atom
**ρ**: 4.5 g/cm3
**SG**: P4/mmm, No. 123
**DOS at the Fermi energy**: 1.97 states/eV per cell
**Total DFT energy (no corrections)**: -4.335 eV/atom

=====

Record 3
The following is a DFT calculation (GGA-PBE) of crystalline NiTeSCl2 at its relaxed geometry.

The structure in POSCAR format:
```
NiTeSCl2
1.0
-4.4422 -0.5609 0.5403
-0.4056 -1.0052 -4.3778
0.7060 -4.6302 0.9977
Cl Te S Ni
2 1 1 1
Direct
0.0000 0.5000 0.0000
0.5000 0.0000 0.0000
0.5000 0.5000 0.5000
0.0000 0.0000 0.5000
0.0000 0.0000 0.0000
```

**Uncorrected formation energy**: 0.06 eV/atom
**ρ**: 4.9 g/cm3
**SG**: P4/mmm, No. 123
**DOS at the Fermi energy**: 4.30 states/eV per cell
**Total DFT energy (no corrections)**: -3.291 eV/atom

=====

Record order is preserved below.
Magnetic moment: 1.66, 4.89, 0.00 Bohr magnetons per cell
Record order is preserved below.
Energy relative to the lowest polymorph listed for this composition: 14, 0, 0 kJ/mol of formula units